GGA-PBE Ta3P, relaxed; ρ = 13.84 g cm⁻³; space-group type = P2/m (10); total magnetization = 0.000 μB per atom; electronic total energy = -10.28 eV per atom; formation energy from the elements = -40 meV per atom
1.0
2.973 0.000 0.000
0.000 4.543 0.000
-0.057 0.000 5.096
Ta P
3 1
Cartesian
0.000 0.000 0.000
0.916 2.272 3.816
1.999 2.272 1.280
1.458 0.000 2.548